No. 1
A geometry-optimized Rb2InSb structure, computed with PBE-GGA.

DOS at the Fermi energy (states/eV per atom): 0.906
Energy above the lowest structure with this stoichiometry (meV per atom): 341.7
E_form (uncorrected) (eV per atom): 0.142
Magnetization (Bohr magnetons per cell): 1.225

a b c (Å): 5.237 5.237 24.916
angles (deg): 90.00 90.00 90.00
Space group I-42d (No. 122)
Asymmetric unit:
Rb 0.249 0.250 0.125 (multiplicity 8)
In 0.000 0.000 0.500 (multiplicity 4)
Sb 0.000 0.000 0.000 (multiplicity 4)

No. 2
A geometry-optimized RbIn3Sb3 structure, computed with PBE-GGA.

DOS at the Fermi energy (states/eV per atom): 0.275
Energy above the lowest structure with this stoichiometry (meV per atom): 0.0
E_form (uncorrected) (eV per atom): -0.173
Magnetization (Bohr magnetons per cell): 0.000

a b c (Å): 8.4940 8.4940 26.9146
angles (deg): 90.00 90.00 120.00
Space group R-3 (No. 148, hexagonal axes)
Asymmetric unit:
Rb 0.0000 0.0000 0.1664 (multiplicity 6)
In 0.9997 0.3316 0.0406 (multiplicity 18)
Sb 0.0009 0.6658 0.0720 (multiplicity 18)

No. 3
A geometry-optimized RbIn4Sb2 structure, computed with PBE-GGA.

DOS at the Fermi energy (states/eV per atom): 0.342
E_form (uncorrected) (eV per atom): -0.112
Magnetization (Bohr magnetons per cell): 0.000

a b c (Å): 9.420 9.420 5.154
angles (deg): 90.00 90.00 90.00
Space group P4_2/mnm (No. 136)
Asymmetric unit:
Rb 0.000 0.000 0.000 (multiplicity 2)
In 0.086 0.352 0.500 (multiplicity 8)
Sb 0.218 0.782 0.500 (multiplicity 4)

No. 4
A geometry-optimized Rb2InSbSe4 structure, computed with PBE-GGA.

E_form (uncorrected) (eV per atom): -0.675
Magnetization (Bohr magnetons per cell): 0.000

a b c (Å): 6.792 15.004 24.532
angles (deg): 90.00 90.00 90.00
Space group Fddd (No. 70, origin choice 2)
Asymmetric unit:
Rb 0.125 0.125 0.308 (multiplicity 16)
In 0.125 0.125 0.625 (multiplicity 8)
Sb 0.125 0.125 0.125 (multiplicity 8)
Se 0.109 0.269 0.818 (multiplicity 32)

- The lowest E_form (uncorrected) belongs to which entry?
  Rb2InSbSe4